Record 1
AgAu3I | PBE | optimized geometry

Results
* size of the total moment: 0.0 Bohr magnetons per cell
* N(E_F): 3.9 states/eV/f.u.
* energy relative to the elements, uncorrected: 93 kJ/mol of atoms
* final energy: -1.88 eV per atom

Lattice parameters (Å, degrees): 5.377 5.377 5.377 90.00 90.00 90.00
Space group Pm-3m (No. 221)
Unique sites:
1 Ag 0.000 0.000 0.000 x1
2 Au 0.000 0.500 0.500 x3
3 I 0.500 0.500 0.500 x1


Record 2
BeNb2S | PBE | optimized geometry

Results
* size of the total moment: 0.0 Bohr magnetons per cell
* N(E_F): 3.9 states/eV/f.u.
* energy relative to the elements, uncorrected: 50 kJ/mol of atoms
* final energy: -6.48 eV per atom

Lattice parameters (Å, degrees): 5.192 5.192 11.465 90.00 90.00 90.00
Space group I-42d (No. 122)
Unique sites:
1 Be 0.000 0.000 0.000 x4
2 Nb 0.219 0.250 0.125 x8
3 S 0.000 0.000 0.500 x4


Record 3
NiIr2Pb | PBE | optimized geometry

Results
* size of the total moment: 2.5 Bohr magnetons per cell
* N(E_F): 4.8 states/eV/f.u.
* ΔE_f: 1.574 eV/f.u.
* final energy: -6.41 eV per atom

Lattice parameters (Å, degrees): 4.079 4.079 7.631 90.00 90.00 90.00
Space group I4/mmm (No. 139)
Unique sites:
1 Ni 0.000 0.000 0.000 x2
2 Ir 0.000 0.500 0.250 x4
3 Pb 0.000 0.000 0.500 x2


Record 4
DyNpO5 | PBE | optimized geometry

Results
* size of the total moment: 0.0 Bohr magnetons per cell
* energy relative to the elements, uncorrected: -276 kJ/mol of atoms
* final energy: -8.91 eV per atom

Lattice parameters (Å, degrees): 4.099 6.615 8.306 90.00 90.00 90.00
Space group Immm (No. 71)
Unique sites:
1 Dy 0.000 0.000 0.000 x2
2 Np 0.000 0.000 0.500 x2
3 O 0.000 0.000 0.267 x4
4 O 0.000 0.306 0.500 x4
5 O 0.000 0.500 0.000 x2


Record 5
MnSe2Br | PBE | optimized geometry

Results
* size of the total moment: 8.3 Bohr magnetons per cell
* N(E_F): 3.7 states/eV/f.u.
* energy relative to the elements, uncorrected: 31 kJ/mol of atoms
* final energy: -4.13 eV per atom

Lattice parameters (Å, degrees): 6.064 6.064 5.228 90.00 90.00 90.00
Space group I4/mmm (No. 139)
Unique sites:
1 Mn 0.000 0.000 0.000 x2
2 Se 0.000 0.500 0.250 x4
3 Br 0.000 0.000 0.500 x2


Record 6
RbSc2C | PBE | optimized geometry

Results
* size of the total moment: 2.5 Bohr magnetons per cell
* N(E_F): 3.7 states/eV/f.u.
* ΔE_f: 0.023 eV/f.u.
* final energy: -5.71 eV per atom

Lattice parameters (Å, degrees): 3.4404 3.4404 30.2182 90.00 90.00 120.00
Space group R-3m (No. 166, hexagonal axes)
Unique sites:
1 Rb 0.0000 0.0000 0.0000 x3
2 Sc 0.0000 0.0000 0.1272 x6
3 C 0.0000 0.0000 0.5000 x3